Record 1
DFT (PBE-GGA) results for Tb3Si5Pt6 after structural relaxation.

Cell and atoms, written as CIF:
```
data_Tb3Si5Pt6
_chemical_formula_sum 'Tb6 Si10 Pt12'
_space_group_name_H-M_alt 'P m m n'
_space_group_IT_number 59
_cell_length_a 4.0589
_cell_length_b 12.5740
_cell_length_c 9.6424
_cell_angle_alpha 90.00
_cell_angle_beta 90.00
_cell_angle_gamma 90.00
loop_
_space_group_symop_operation_xyz
'x,y,z'
'-x,-y,-z'
'-x+1/2,-y+1/2,z'
'x+1/2,y+1/2,-z'
'x+1/2,-y,-z'
'-x+1/2,y,z'
'-x,y+1/2,-z'
'x,-y+1/2,z'
loop_
_atom_site_label
_atom_site_fract_x
_atom_site_fract_y
_atom_site_fract_z
Tb1 0.2500 0.0841 0.2449
Tb2 0.2500 0.7500 0.2616
Si1 0.2500 0.0818 0.8494
Si2 0.2500 0.6350 0.5368
Si3 0.2500 0.7500 0.8526
Pt1 0.2500 0.0533 0.6023
Pt2 0.2500 0.2500 0.4804
Pt3 0.2500 0.2500 0.9927
Pt4 0.2500 0.5826 0.0108
```

- Fermi-level density of states (states/eV/cell) = 14.36
- formation energy from raw total energies (meV/atom) = -1048.0

***

Record 2
DFT (PBE-GGA) results for Sr3Si8Pd3 after structural relaxation.

Cell and atoms, written as CIF:
```
data_Sr3Si8Pd3
_chemical_formula_sum 'Sr6 Si16 Pd6'
_space_group_name_H-M_alt 'I m m m'
_space_group_IT_number 71
_space_group_name_Hall '-I 2 2'
_cell_length_a 4.1032
_cell_length_b 10.6438
_cell_length_c 12.3004
_cell_angle_alpha 90.00
_cell_angle_beta 90.00
_cell_angle_gamma 90.00
loop_
_atom_site_label
_atom_site_fract_x
_atom_site_fract_y
_atom_site_fract_z
Sr1 0.0000 0.0000 0.0000
Sr2 0.0000 0.0000 0.2961
Si1 0.0000 0.2920 0.1312
Si2 0.0000 0.3379 0.3373
Pd1 0.0000 0.2022 0.5000
Pd2 0.0000 0.5000 0.0000
```

- Fermi-level density of states (states/eV/cell) = 9.65
- formation energy from raw total energies (meV/atom) = -355.8

***

Record 3
DFT (PBE-GGA) results for TlCu4Os after structural relaxation.

Cell and atoms, written as CIF:
```
data_TlCu4Os
_chemical_formula_sum 'Tl4 Cu16 Os4'
_space_group_name_H-M_alt 'F -4 3 m'
_space_group_IT_number 216
_space_group_name_Hall 'F -4 2 3'
_cell_length_a 6.9454
_cell_length_b 6.9454
_cell_length_c 6.9454
_cell_angle_alpha 90.00
_cell_angle_beta 90.00
_cell_angle_gamma 90.00
loop_
_atom_site_label
_atom_site_fract_x
_atom_site_fract_y
_atom_site_fract_z
Tl1 0.0000 0.0000 0.0000
Cu1 0.1241 0.1241 0.3759
Os1 0.2500 0.2500 0.7500
```

- total DFT energy (no corrections) (eV per cell) = -108.4
- Fermi-level density of states (states/eV/cell) = 15.65